(1)
A PBEsol-optimized structure of YFeN2O, computed with SCAN.

Cell lengths 3.6511, 3.6511, 3.8178 Å; angles 90.00, 90.00, 90.00 degrees
With the nearest neighbours (Å) after each atom.
Space group P4/mmm (No. 123)
Symmetry-distinct sites (fractional):
Y1 0.0000 0.0000 0.0000 x1  4 O 2.58, 8 N 2.64
Fe1 0.5000 0.5000 0.5000 x1  4 N 1.83, 2 O 1.91
N1 0.0000 0.5000 0.5000 x2  2 Fe 1.83
O1 0.5000 0.5000 0.0000 x1  2 Fe 1.91

Calculated values
Mass density = 6.16 Mg/m³
Formation energy (no corrections) = -1.105 eV/atom

(2)
A PBEsol-optimized structure of ZrFeN2O, computed with SCAN.

Cell lengths 4.1534, 4.1534, 4.0048 Å; angles 90.00, 90.00, 90.00 degrees
With the nearest neighbours (Å) after each atom.
Space group P4/mmm (No. 123)
Symmetry-distinct sites (fractional):
Zr1 0.0000 0.0000 0.0000 x1  2 O 2.00, 4 N 2.08
Fe1 0.5000 0.5000 0.5000 x1  8 N 2.88, 4 O 2.94
N1 0.0000 0.5000 0.0000 x2  2 Zr 2.08
O1 0.0000 0.0000 0.5000 x1  2 Zr 2.00

Calculated values
Mass density = 4.59 Mg/m³
Formation energy (no corrections) = -0.083 eV/atom

(3)
A PBEsol-optimized structure of Fe2PN, computed with SCAN.

Cell lengths 5.2610, 5.2610, 5.2610 Å; angles 90.00, 90.00, 90.00 degrees
With the nearest neighbours (Å) after each atom.
Space group Fm-3m (No. 225)
Symmetry-distinct sites (fractional):
Fe1 0.2500 0.2500 0.2500 x8  4 P 2.28, 4 N 2.28
P1 0.0000 0.0000 0.0000 x4  8 Fe 2.28
N1 0.0000 0.0000 0.5000 x4  8 Fe 2.28

Calculated values
Mass density = 7.15 Mg/m³
Formation energy (no corrections) = 0.660 eV/atom

(4)
A PBEsol-optimized structure of FePN3, computed with SCAN.

Cell lengths 3.4634, 3.4634, 3.4634 Å; angles 90.00, 90.00, 90.00 degrees
With the nearest neighbours (Å) after each atom.
Space group Pm-3m (No. 221)
Symmetry-distinct sites (fractional):
Fe1 0.0000 0.0000 0.0000 x1  12 N 2.45
P1 0.5000 0.5000 0.5000 x1  6 N 1.73
N1 0.0000 0.5000 0.5000 x3  2 P 1.73

Calculated values
Mass density = 5.15 Mg/m³
Formation energy (no corrections) = 0.799 eV/atom

(5)
A PBEsol-optimized structure of FePS2N, computed with SCAN.

Cell lengths 3.9462, 3.9462, 4.1003 Å; angles 90.00, 90.00, 90.00 degrees
With the nearest neighbours (Å) after each atom.
Space group P4/mmm (No. 123)
Symmetry-distinct sites (fractional):
Fe1 0.0000 0.0000 0.0000 x1  4 P 2.79, 8 S 2.85
P1 0.5000 0.5000 0.0000 x1  2 N 2.05
S1 0.0000 0.5000 0.5000 x2  2 N 1.97
N1 0.5000 0.5000 0.5000 x1  4 S 1.97, 2 P 2.05

Calculated values
Mass density = 4.29 Mg/m³
Formation energy (no corrections) = 1.138 eV/atom

(6)
A PBEsol-optimized structure of ScFeP2N, computed with SCAN.

Cell lengths 4.8615, 4.8615, 3.9272 Å; angles 90.00, 90.00, 90.00 degrees
With the nearest neighbours (Å) after each atom.
Space group P4/mmm (No. 123)
Symmetry-distinct sites (fractional):
Sc1 0.0000 0.0000 0.0000 x1  2 N 1.96
Fe1 0.5000 0.5000 0.5000 x1  8 P 3.12, 4 N 3.44
P1 0.0000 0.5000 0.0000 x2  2 Sc 2.43
N1 0.0000 0.0000 0.5000 x1  2 Sc 1.96

Calculated values
Mass density = 3.16 Mg/m³
Formation energy (no corrections) = 0.939 eV/atom

| no. | V (A^3/atom) | total DFT energy (no corrections) (eV per atom) |
| --- | --- | --- |
| 1 | 10.2 | -15.262 |
| 2 | 13.8 | -14.812 |
| 3 | 9.1 | -13.328 |
| 4 | 8.3 | -10.481 |
| 5 | 12.8 | -10.277 |
| 6 | 18.6 | -11.552 |